(1)
BaInPb2Br8 (PBE, optimized geometry); E_form (uncorrected) = -1.1379 eV/atom; SG = No. 10; total magnetization = 0.0 μB per cell; DFT total energy = -3.260 eV per atom
1.0
-2.559 -6.807 -0.403
3.385 -1.678 5.918
-7.398 2.489 4.938
Br Pb Ba In
8 2 1 1
Cartesian
-3.564 -0.501 8.292
-3.674 -1.619 3.949
-2.898 -4.378 6.503
-3.008 -5.495 2.160
0.768 -5.862 4.106
-7.069 -4.129 4.870
0.497 -1.868 5.582
-7.340 -0.135 6.346
-5.217 -2.349 6.515
-1.355 -3.648 3.937
-3.699 1.244 2.469
0.000 0.000 0.000

=====

(2)
Ba2InPdBr (PBE, optimized geometry); E_form (uncorrected) = -0.8152 eV/atom; SG = No. 123; total magnetization = 0.0 μB per cell; DFT total energy = -3.505 eV per atom
1.0
6.264 0.000 0.000
0.000 6.264 0.000
0.000 0.000 5.110
Pd In Br Ba
1 1 1 2
Cartesian
0.000 0.000 0.000
0.000 0.000 2.555
3.132 3.132 2.555
0.000 3.132 0.000
3.132 0.000 0.000

=====

(3)
BaPmInBr6 (PBE, optimized geometry); E_form (uncorrected) = -1.7030 eV/atom; SG = No. 163; total magnetization = 0.0 μB per cell; DFT total energy = -3.864 eV per atom
1.0
-6.070 5.201 0.851
-0.911 -7.651 2.292
4.517 3.218 12.540
Br Pm In Ba
12 2 2 2
Cartesian
-4.761 1.434 6.901
-5.590 2.833 3.228
-2.357 4.361 5.284
-0.107 -3.592 10.398
1.520 1.707 12.065
-0.743 -1.339 13.662
-1.552 0.236 9.936
3.126 -2.064 12.455
-1.721 2.107 2.021
2.296 -0.666 8.782
-3.985 -0.939 3.618
-0.913 0.533 5.746
-3.221 1.722 4.466
0.757 -0.953 11.216
2.258 1.609 6.270
0.000 0.000 0.000
-1.502 -2.562 4.947
-0.963 3.331 10.736

=====

(4)
Ba6InPt2Br3 (PBE, optimized geometry); E_form (uncorrected) = -1.1611 eV/atom; SG = No. 12; total magnetization = 0.0 μB per cell; DFT total energy = -3.776 eV per atom
1.0
4.611 0.000 0.000
0.000 10.130 -0.067
-2.305 -3.369 10.280
Pt Br Ba In
2 3 6 1
Cartesian
2.305 4.507 6.799
0.000 2.254 3.414
0.000 7.261 3.364
2.305 -0.499 6.850
2.305 5.065 -0.033
2.305 0.004 3.419
2.305 4.464 3.636
2.305 4.215 9.993
0.000 6.758 6.794
0.000 2.297 6.577
0.000 2.547 0.220
2.305 0.000 0.000

=====

(5)
BaPuIn2Br8 (PBE, optimized geometry); E_form (uncorrected) = -1.2969 eV/atom; SG = No. 10; total magnetization = 4.1 μB per cell; DFT total energy = -4.223 eV per atom
1.0
-4.212 -4.064 -4.510
-2.380 -3.551 5.632
-6.996 6.195 0.949
Ba Br Pu In
1 8 1 2
Cartesian
-3.498 3.098 0.474
-1.846 -2.065 -0.124
-9.599 0.543 -1.826
-3.989 -1.963 3.897
-5.634 0.689 0.449
-7.953 -2.109 1.622
-7.900 1.501 4.427
-11.742 0.645 2.194
-5.687 -2.921 -2.357
0.000 0.000 0.000
-5.029 -2.273 0.796
-8.559 0.853 1.274

=====

(6)
BaPuInBr6 (PBE, optimized geometry); E_form (uncorrected) = -1.5364 eV/atom; SG = No. 163; total magnetization = 10.0 μB per cell; DFT total energy = -4.762 eV per atom
1.0
8.066 0.000 0.000
-4.033 6.985 0.000
0.000 0.000 13.475
Br Ba Pu In
12 2 2 2
Cartesian
-1.165 6.749 8.485
-2.394 4.620 11.728
5.262 4.383 4.990
1.229 2.602 11.728
2.868 0.237 1.748
1.165 6.749 11.728
2.804 4.383 1.748
-1.229 2.602 8.485
5.197 0.237 4.990
1.639 2.366 4.990
2.394 4.620 8.485
6.427 2.366 1.748
0.000 4.657 3.369
4.033 2.328 10.106
0.000 4.657 10.106
4.033 2.328 3.369
0.000 0.000 0.000
0.000 0.000 6.738

=====

(7)
Rb2BaInBr6 (PBE, optimized geometry); E_form (uncorrected) = -1.4758 eV/atom; SG = No. 139; total magnetization = 0.0 μB per cell; DFT total energy = -3.139 eV per atom
1.0
8.549 0.000 0.000
0.000 8.549 0.000
4.274 4.274 6.039
Br Rb In Ba
6 2 1 1
Cartesian
2.227 6.322 0.000
4.274 4.274 2.891
6.322 2.227 0.000
2.227 2.227 0.000
8.549 8.549 3.148
6.322 6.322 0.000
8.549 4.274 3.019
4.274 8.549 3.019
4.274 4.274 0.000
0.000 0.000 0.000

=====

(8)
RbBaInBr6 (PBE, optimized geometry); E_form (uncorrected) = -1.4754 eV/atom; SG = No. 163; total magnetization = 0.0 μB per cell; DFT total energy = -3.216 eV per atom
1.0
-0.058 -2.768 7.444
5.378 -2.681 -5.192
8.891 10.290 3.896
Br In Rb Ba
12 2 2 2
Cartesian
6.440 -0.520 5.338
1.460 0.186 3.201
10.753 3.053 0.102
9.770 6.879 3.879
11.204 6.986 0.323
4.442 -2.038 2.268
3.459 1.788 6.045
12.752 4.655 2.946
9.157 3.111 3.590
5.054 1.729 2.557
7.772 5.361 0.809
3.008 -2.145 5.824
10.235 5.007 1.942
3.977 -0.167 4.206
4.446 5.145 1.948
0.000 0.000 0.000
8.423 4.978 6.154
5.789 -0.138 -0.006